A relaxed LiCu4NiSn2 crystal. Source: OQMD, functional PBE.

Properties
Calculated total energy, eV per atom: -3.857

```
data_LiCu4NiSn2
_symmetry_space_group_name_H-M 'P 4/m m m'
_symmetry_Int_Tables_number 123
_symmetry_space_group_name_Hall '-P 4 2'
_cell_length_a 4.3344
_cell_length_b 4.3344
_cell_length_c 6.1205
_cell_angle_alpha 90.00
_cell_angle_beta 90.00
_cell_angle_gamma 90.00
loop_
_atom_site_label
_atom_site_type_symbol
_atom_site_fract_x
_atom_site_fract_y
_atom_site_fract_z
Li1 Li 0.0000 0.0000 0.0000
Cu1 Cu 0.0000 0.5000 0.2541
Ni1 Ni 0.5000 0.5000 0.5000
Sn1 Sn 0.0000 0.0000 0.5000
Sn2 Sn 0.5000 0.5000 0.0000
```